Entry 1:
First-principles (GGA-PBE) data for Ho2Be2GeO7 after structural relaxation, as listed in OQMD.

Summary:
Total energy ... -7.544 eV/atom
M_tot ... 0.000 μB per atom

Cell lengths 7.3546, 7.3546, 4.7641 Å; angles 90.00, 90.00, 90.00 degrees
With the nearest neighbours (Å) after each atom.
Fractional coordinates of all 24 atoms:
O 0.1713 0.0817 0.2205  1 Be 1.68, 1 Ge 1.75
O 0.5817 0.6713 0.2205  1 Be 1.68, 1 Ge 1.75
O 0.6713 0.4183 0.7795  1 Be 1.68, 1 Ge 1.75
Ho 0.6577 0.1577 0.5056  6 O 2.23-2.43
O 0.4183 0.3287 0.2205  1 Be 1.68, 1 Ge 1.75
Be 0.1358 0.6358 0.9510  4 O 1.56-1.68
Be 0.6358 0.8642 0.0490  4 O 1.56-1.68
Be 0.8642 0.3642 0.9510  4 O 1.56-1.68
Ge 0.5000 0.5000 0.0000  4 O 1.75
O 0.9183 0.1713 0.7795  1 Be 1.68, 1 Ge 1.75
O 0.8574 0.3574 0.2825  1 Be 1.58
O 0.0817 0.8287 0.7795  1 Be 1.68, 1 Ge 1.75
O 0.1426 0.6426 0.2825  1 Be 1.58
O 0.3287 0.5817 0.7795  1 Be 1.68, 1 Ge 1.75
O 0.5000 0.0000 0.1869  2 Be 1.56
Ge 0.0000 0.0000 0.0000  4 O 1.75
Ho 0.3423 0.8423 0.5056  6 O 2.23-2.43
O 0.6426 0.8574 0.7175  1 Be 1.58
O 0.3574 0.1426 0.7175  1 Be 1.58
Ho 0.1577 0.3423 0.4944  6 O 2.23-2.43
O 0.0000 0.5000 0.8131  2 Be 1.56
O 0.8287 0.9183 0.2205  1 Be 1.68, 1 Ge 1.75
Be 0.3642 0.1358 0.0490  4 O 1.56-1.68
Ho 0.8423 0.6577 0.4944  6 O 2.23-2.43

Entry 2:
First-principles (GGA-PBE) data for PrHoBe2Ge2 after structural relaxation, as listed in OQMD.

Summary:
Total energy ... -4.989 eV/atom
M_tot ... 0.001 μB per atom

Cell lengths 3.9581, 3.9581, 8.3423 Å; angles 90.00, 90.00, 120.00 degrees
With the nearest neighbours (Å) after each atom.
Fractional coordinates of all 6 atoms:
Be 0.6667 0.3333 0.2589  3 Ge 2.29
Ge 0.6667 0.3333 0.7381  3 Be 2.29
Ge 0.3333 0.6667 0.2619  3 Be 2.29
Be 0.3333 0.6667 0.7411  3 Ge 2.29
Pr 0.0000 0.0000 0.0000  6 Be 3.14, 6 Ge 3.16
Ho 0.0000 0.0000 0.5000  6 Ge 3.03, 6 Be 3.04